Entry 1:
Material: CsUO3
Method: DFT, PBE
State: optimized geometry

The value obtained for the formation energy without anion corrections is -2.80 eV/atom. The crystal system is cubic.

Cell: 4.4131 4.4131 4.4131 Å, 90.00 90.00 90.00°
Positions (direct):
Cs (0.0000, 0.0000, 0.0000)
U (0.5000, 0.5000, 0.5000)
O (0.0000, 0.5000, 0.5000)
O (0.5000, 0.0000, 0.5000)
O (0.5000, 0.5000, 0.0000)



Entry 2:
Material: Tc2PtSe
Method: DFT, PBE
State: optimized geometry

The value obtained for the formation energy without anion corrections is 0.24 eV/atom. The crystal system is monoclinic.

Cell: 4.1858 4.1858 5.7010 Å, 99.32 99.32 39.91°
Positions (direct):
Tc (0.2502, 0.2502, 0.2157)
Tc (0.7498, 0.7498, 0.7843)
Pt (0.0000, 0.0000, 0.5000)
Se (0.5000, 0.5000, 0.0000)



Entry 3:
Material: Pm2ZrGe2
Method: DFT, PBE
State: optimized geometry

As for the formation energy: -0.607 eV per atom. The crystal system is monoclinic.

Cell: 8.8436 8.2579 7.5123 Å, 90.00 102.50 90.00°
Positions (direct):
Pm (0.0889, 0.2224, 0.0355)
Pm (0.0889, 0.2776, 0.5355)
Pm (0.3035, 0.6305, 0.9027)
Pm (0.3035, 0.8695, 0.4027)
Pm (0.6965, 0.1305, 0.5973)
Pm (0.6965, 0.3695, 0.0973)
Pm (0.9111, 0.7224, 0.4645)
Pm (0.9111, 0.7776, 0.9645)
Zr (0.3703, 0.0793, 0.8647)
Zr (0.3703, 0.4207, 0.3647)
Zr (0.6297, 0.5793, 0.6353)
Zr (0.6297, 0.9207, 0.1353)
Ge (0.0886, 0.5465, 0.2330)
Ge (0.0886, 0.9535, 0.7330)
Ge (0.4506, 0.1449, 0.2333)
Ge (0.4506, 0.3551, 0.7333)
Ge (0.5494, 0.6449, 0.2667)
Ge (0.5494, 0.8551, 0.7667)
Ge (0.9114, 0.0465, 0.2670)
Ge (0.9114, 0.4535, 0.7670)



Entry 4:
Material: CsSnIN2
Method: DFT, PBE
State: optimized geometry

The polymorph energy (0 for the lowest one) is 0.00 kJ per mole of atoms. The value obtained for the formation energy without anion corrections is 0.90 eV/atom. The crystal system is tetragonal.

Cell: 4.7326 4.7326 6.3359 Å, 90.00 90.00 90.00°
Positions (direct):
Cs (0.0000, 0.0000, 0.0000)
Sn (0.5000, 0.5000, 0.5000)
I (0.5000, 0.5000, 0.0000)
N (0.0000, 0.5000, 0.5000)
N (0.5000, 0.0000, 0.5000)



Entry 5:
Material: CdSnSbBr
Method: DFT, PBE
State: optimized geometry

The value obtained for the formation energy without anion corrections is -0.28 eV/atom. The crystal system is trigonal.

Cell: 4.3422 4.3422 9.0772 Å, 90.00 90.00 120.00°
Positions (direct):
Cd (0.0000, 0.0000, 0.0000)
Sn (0.0000, 0.0000, 0.3060)
Sb (0.3333, 0.6667, 0.4563)
Br (0.6667, 0.3333, 0.8503)



Entry 6:
Material: Tb2Pm2Nd2Cd
Method: DFT, PBE
State: optimized geometry

As for the formation energy: 0.087 eV per atom. The crystal system is monoclinic.

Cell: 8.9476 8.9476 8.3176 Å, 115.87 115.87 22.48°
Positions (direct):
Tb (0.2188, 0.2188, 0.3044)
Tb (0.7812, 0.7812, 0.6956)
Pm (0.4339, 0.4339, 0.6119)
Pm (0.5661, 0.5661, 0.3881)
Nd (0.3551, 0.3551, 0.1074)
Nd (0.6449, 0.6449, 0.8926)
Cd (0.0000, 0.0000, 0.0000)



Entry 7:
Material: BaAg2AsOs
Method: DFT, PBE
State: optimized geometry

As for the formation energy: 2.178 eV per atom. The crystal system is tetragonal.

Cell: 5.6090 5.6090 5.1603 Å, 90.00 90.00 90.00°
Positions (direct):
Ba (0.0000, 0.0000, 0.0000)
Ag (0.0000, 0.5000, 0.0000)
Ag (0.5000, 0.0000, 0.0000)
As (0.5000, 0.5000, 0.5000)
Os (0.0000, 0.0000, 0.5000)



Entry 8:
Material: In2Ga2Bi
Method: DFT, PBE
State: optimized geometry

The polymorph energy (0 for the lowest one) is 6.00 kJ per mole of atoms. As for the formation energy: 0.121 eV per atom. The crystal system is tetragonal.

Cell: 6.7780 6.7780 6.7780 Å, 139.72 139.72 58.28°
Positions (direct):
In (0.2500, 0.7500, 0.5000)
In (0.7500, 0.2500, 0.5000)
Ga (0.1032, 0.1032, 0.0000)
Ga (0.8968, 0.8968, 0.0000)
Bi (0.5000, 0.5000, 0.0000)



Sequential final energy output: -8.203; -7.328; -6.064; -3.710; -2.961; -4.086; -2.523; -2.961 eV per atom
Sequential calculated density output: 8.094; 12.365; 6.529; 4.757; 4.849; 7.345; 6.323; 7.441 Mg/m³